Record 1
DFT (PBE-GGA) results for a relaxed structure of Ta2AlSe.

Lattice parameters (Å, degrees): 3.6254 4.6939 8.9949 90.00 90.00 90.00
With the nearest neighbours (Å) after each atom.
Fractional coordinates of all 8 atoms:
Ta1 0.0000 0.0000 0.0000  2 Se 2.62, 2 Ta 2.85
Ta2 0.0000 0.5000 0.2450  2 Al 2.71, 6 Ta 2.85-2.97
Ta3 0.5000 0.0000 0.2450  2 Al 2.71, 6 Ta 2.85-2.97
Ta4 0.5000 0.5000 0.0000  2 Se 2.62, 2 Ta 2.85
Al1 0.0000 0.0000 0.4694  2 Ta 2.71, 4 Al 2.97
Al2 0.5000 0.5000 0.4694  2 Ta 2.71, 4 Al 2.97
Se1 0.0000 0.5000 0.7890  2 Ta 2.62
Se2 0.5000 0.0000 0.7890  2 Ta 2.62

Values from the calculation:
**E above lowest polymorph**: 172 meV/atom
**Space-group type**: No. 35
**Formation energy (no corrections)**: -0.01 eV per formula unit
**N(E_F)**: 2.91 states/eV/f.u.

=====

Record 2
DFT (PBE-GGA) results for a relaxed structure of TaAlSe2.

Lattice parameters (Å, degrees): 5.9688 5.9688 10.9550 90.00 90.00 90.00
With the nearest neighbours (Å) after each atom.
Fractional coordinates of all 16 atoms:
Ta1 0.0000 0.0000 0.0000  4 Se 2.55
Ta2 0.0000 0.5000 0.2500  4 Se 2.55
Ta3 0.5000 0.0000 0.7500  4 Se 2.55
Ta4 0.5000 0.5000 0.5000  4 Se 2.55
Al1 0.0000 0.0000 0.5000  4 Se 2.49
Al2 0.0000 0.5000 0.7500  4 Se 2.49
Al3 0.5000 0.0000 0.2500  4 Se 2.49
Al4 0.5000 0.5000 0.0000  4 Se 2.49
Se1 0.2416 0.2500 0.6250  2 Al 2.49, 2 Ta 2.55
Se2 0.2500 0.7416 0.8750  2 Al 2.49, 2 Ta 2.55
Se3 0.2500 0.7584 0.3750  2 Al 2.49, 2 Ta 2.55
Se4 0.2584 0.2500 0.1250  2 Al 2.49, 2 Ta 2.55
Se5 0.7416 0.7500 0.1250  2 Al 2.49, 2 Ta 2.55
Se6 0.7500 0.2416 0.3750  2 Al 2.49, 2 Ta 2.55
Se7 0.7500 0.2584 0.8750  2 Al 2.49, 2 Ta 2.55
Se8 0.7584 0.7500 0.6250  2 Al 2.49, 2 Ta 2.55

Values from the calculation:
**Space-group type**: No. 122
**Formation energy (no corrections)**: 0.49 eV per formula unit
**N(E_F)**: 3.33 states/eV/f.u.

=====

Record 3
DFT (PBE-GGA) results for a relaxed structure of TaAlSe.

Lattice parameters (Å, degrees): 6.1372 6.1372 6.1372 90.00 90.00 90.00
With the nearest neighbours (Å) after each atom.
Fractional coordinates of all 12 atoms:
Ta1 0.0000 0.0000 0.0000  4 Se 2.66
Ta2 0.0000 0.5000 0.5000  4 Se 2.66
Ta3 0.5000 0.0000 0.5000  4 Se 2.66
Ta4 0.5000 0.5000 0.0000  4 Se 2.66
Al1 0.0000 0.0000 0.5000  4 Se 2.66
Al2 0.0000 0.5000 0.0000  4 Se 2.66
Al3 0.5000 0.0000 0.0000  4 Se 2.66
Al4 0.5000 0.5000 0.5000  4 Se 2.66
Se1 0.2500 0.2500 0.7500  4 Ta 2.66, 4 Al 2.66
Se2 0.2500 0.7500 0.2500  4 Ta 2.66, 4 Al 2.66
Se3 0.7500 0.2500 0.2500  4 Ta 2.66, 4 Al 2.66
Se4 0.7500 0.7500 0.7500  4 Ta 2.66, 4 Al 2.66

Values from the calculation:
**E above lowest polymorph**: 745 meV/atom
**Space-group type**: No. 216
**Formation energy (no corrections)**: 1.24 eV per formula unit
**N(E_F)**: 0.49 states/eV/f.u.

=====

Record 4
DFT (PBE-GGA) results for a relaxed structure of TaAlSe2.

Lattice parameters (Å, degrees): 3.3669 5.6680 7.9386 90.00 90.00 90.00
With the nearest neighbours (Å) after each atom.
Fractional coordinates of all 8 atoms:
Ta1 0.0000 0.0000 0.0000  4 Se 2.62
Ta2 0.5000 0.5000 0.5000  4 Se 2.62
Al1 0.0000 0.0000 0.5000  4 Se 2.58
Al2 0.5000 0.5000 0.0000  4 Se 2.58
Se1 0.0000 0.5000 0.2466  2 Al 2.58, 2 Ta 2.62
Se2 0.0000 0.5000 0.7534  2 Al 2.58, 2 Ta 2.62
Se3 0.5000 0.0000 0.2534  2 Al 2.58, 2 Ta 2.62
Se4 0.5000 0.0000 0.7466  2 Al 2.58, 2 Ta 2.62

Values from the calculation:
**Space-group type**: No. 71
**Formation energy (no corrections)**: 0.06 eV per formula unit
**N(E_F)**: 1.74 states/eV/f.u.

=====

Record 5
DFT (PBE-GGA) results for a relaxed structure of TaAlSe2.

Lattice parameters (Å, degrees): 3.8639 3.8639 9.7652 90.00 90.00 90.00
With the nearest neighbours (Å) after each atom.
Fractional coordinates of all 8 atoms:
Ta1 0.0000 0.0000 0.0000  4 Se 2.73
Ta2 0.5000 0.5000 0.5000  4 Se 2.73
Al1 0.0000 0.5000 0.7500  4 Se 2.73
Al2 0.5000 0.0000 0.2500  4 Se 2.73
Se1 0.0000 0.0000 0.5000  4 Ta 2.73
Se2 0.0000 0.5000 0.2500  4 Al 2.73
Se3 0.5000 0.0000 0.7500  4 Al 2.73
Se4 0.5000 0.5000 0.0000  4 Ta 2.73

Values from the calculation:
**Space-group type**: No. 119
**Formation energy (no corrections)**: 0.96 eV per formula unit
**N(E_F)**: 4.05 states/eV/f.u.

=====

Record 6
DFT (PBE-GGA) results for a relaxed structure of TaAlSe.

Lattice parameters (Å, degrees): 3.2187 3.2187 6.1424 90.00 90.00 120.00
With the nearest neighbours (Å) after each atom.
Fractional coordinates of all 3 atoms:
Ta1 0.0000 0.0000 0.0000  3 Se 2.59, 3 Al 2.78
Al1 0.3333 0.6667 0.3368  3 Ta 2.78, 3 Se 2.93
Se1 0.6667 0.3333 0.7066  3 Ta 2.59

Values from the calculation:
**E above lowest polymorph**: 0 meV/atom
**Space-group type**: No. 156
**Formation energy (no corrections)**: -1.00 eV per formula unit
**N(E_F)**: 1.04 states/eV/f.u.

=====

Record 7
DFT (PBE-GGA) results for a relaxed structure of TaAlSe.

Lattice parameters (Å, degrees): 4.4488 4.4488 3.1828 90.00 90.00 120.00
With the nearest neighbours (Å) after each atom.
Fractional coordinates of all 3 atoms:
Ta1 0.0000 0.0000 0.0000  3 Se 2.57
Al1 0.6667 0.3333 0.5000  6 Ta 3.02, 6 Se 3.02, 2 Al 3.18
Se1 0.3333 0.6667 0.0000  3 Ta 2.57

Values from the calculation:
**E above lowest polymorph**: 319 meV/atom
**Space-group type**: No. 187
**Formation energy (no corrections)**: -0.04 eV per formula unit
**N(E_F)**: 0.94 states/eV/f.u.

=====

Record 8
DFT (PBE-GGA) results for a relaxed structure of TaAlSe2.

Lattice parameters (Å, degrees): 3.4239 3.9989 5.5212 90.00 90.00 90.00
With the nearest neighbours (Å) after each atom.
Fractional coordinates of all 4 atoms:
Ta1 0.0000 0.0000 0.0000  4 Se 2.63
Al1 0.5000 0.0000 0.5000  4 Se 2.63
Se1 0.0000 0.5000 0.5000  4 Al 2.63
Se2 0.5000 0.5000 0.0000  4 Ta 2.63

Values from the calculation:
**Space-group type**: No. 47
**Formation energy (no corrections)**: 0.59 eV per formula unit
**N(E_F)**: 2.21 states/eV/f.u.

=====

Record 9
DFT (PBE-GGA) results for a relaxed structure of Ta2AlSe.

Lattice parameters (Å, degrees): 3.1696 5.0576 8.7911 90.00 90.00 90.00
With the nearest neighbours (Å) after each atom.
Fractional coordinates of all 8 atoms:
Ta1 0.0000 0.0000 0.2367  2 Se 2.62, 2 Al 2.81
Ta2 0.0000 0.0000 0.7633  2 Se 2.62, 2 Al 2.81
Ta3 0.5000 0.5000 0.2633  2 Se 2.62, 2 Al 2.81
Ta4 0.5000 0.5000 0.7367  2 Se 2.62, 2 Al 2.81
Al1 0.0000 0.5000 0.0000  4 Ta 2.81, 4 Se 2.98
Al2 0.5000 0.0000 0.5000  4 Ta 2.81, 4 Se 2.98
Se1 0.0000 0.5000 0.5000  4 Ta 2.62
Se2 0.5000 0.0000 0.0000  4 Ta 2.62

Values from the calculation:
**E above lowest polymorph**: 212 meV/atom
**Space-group type**: No. 71
**Formation energy (no corrections)**: 0.15 eV per formula unit
**N(E_F)**: 2.65 states/eV/f.u.

=====

Record 10
DFT (PBE-GGA) results for a relaxed structure of Ta4AlSe.

Lattice parameters (Å, degrees): 5.5070 5.5070 5.5070 60.00 60.00 60.00
With the nearest neighbours (Å) after each atom.
Fractional coordinates of all 6 atoms:
Ta1 0.1236 0.1236 0.1236  6 Ta 2.72-2.79
Ta2 0.1236 0.1236 0.6293  6 Ta 2.72-2.79
Ta3 0.1236 0.6293 0.1236  6 Ta 2.72-2.79
Ta4 0.6293 0.1236 0.1236  6 Ta 2.72-2.79
Al1 0.7500 0.7500 0.7500  12 Ta 3.23, 4 Se 3.37
Se1 0.5000 0.5000 0.5000  12 Ta 3.23, 4 Al 3.37

Values from the calculation:
**Space-group type**: No. 216
**Formation energy (no corrections)**: 2.96 eV per formula unit
**N(E_F)**: 3.83 states/eV/f.u.

=====

Record 11
DFT (PBE-GGA) results for a relaxed structure of TaAlSe2.

Lattice parameters (Å, degrees): 3.3687 3.3687 26.8664 90.00 90.00 120.00
With the nearest neighbours (Å) after each atom.
Fractional coordinates of all 12 atoms:
Ta1 0.0000 0.0000 0.0000  6 Se 2.60
Ta2 0.3333 0.6667 0.6667  6 Se 2.60
Ta3 0.6667 0.3333 0.3333  6 Se 2.60
Al1 0.0000 0.0000 0.5000  2 Se 2.75
Al2 0.3333 0.6667 0.1667  2 Se 2.75
Al3 0.6667 0.3333 0.8333  2 Se 2.75
Se1 0.0000 0.0000 0.3977  3 Ta 2.60, 1 Al 2.75
Se2 0.0000 0.0000 0.6023  3 Ta 2.60, 1 Al 2.75
Se3 0.3333 0.6667 0.0643  3 Ta 2.60, 1 Al 2.75
Se4 0.3333 0.6667 0.2690  3 Ta 2.60, 1 Al 2.75
Se5 0.6667 0.3333 0.7310  3 Ta 2.60, 1 Al 2.75
Se6 0.6667 0.3333 0.9357  3 Ta 2.60, 1 Al 2.75

Values from the calculation:
**Space-group type**: No. 166
**Formation energy (no corrections)**: -1.57 eV per formula unit
**N(E_F)**: 1.95 states/eV/f.u.

=====

Record 12
DFT (PBE-GGA) results for a relaxed structure of Ta2AlSe.

Lattice parameters (Å, degrees): 3.2676 4.3938 4.8598 90.00 90.00 90.00
With the nearest neighbours (Å) after each atom.
Fractional coordinates of all 4 atoms:
Ta1 0.0000 0.0000 0.0000  4 Se 2.74, 4 Ta 2.93
Ta2 0.5000 0.0000 0.5000  4 Al 2.74, 4 Ta 2.93
Al1 0.0000 0.5000 0.5000  4 Ta 2.74, 4 Se 2.93
Se1 0.5000 0.5000 0.0000  4 Ta 2.74, 4 Al 2.93

Values from the calculation:
**E above lowest polymorph**: 231 meV/atom
**Space-group type**: No. 47
**Formation energy (no corrections)**: 0.23 eV per formula unit
**N(E_F)**: 2.33 states/eV/f.u.

=====

Record 13
DFT (PBE-GGA) results for a relaxed structure of TaAlSe2.

Lattice parameters (Å, degrees): 3.4595 3.4595 24.2776 90.00 90.00 120.00
With the nearest neighbours (Å) after each atom.
Fractional coordinates of all 12 atoms:
Ta1 0.0000 0.0000 0.0000  2 Se 2.54
Ta2 0.3333 0.6667 0.6667  2 Se 2.54
Ta3 0.6667 0.3333 0.3333  2 Se 2.54
Al1 0.0000 0.0000 0.5000  6 Se 2.50
Al2 0.3333 0.6667 0.1667  6 Se 2.50
Al3 0.6667 0.3333 0.8333  6 Se 2.50
Se1 0.0000 0.0000 0.1046  3 Al 2.50, 1 Ta 2.54
Se2 0.0000 0.0000 0.8954  3 Al 2.50, 1 Ta 2.54
Se3 0.3333 0.6667 0.5621  3 Al 2.50, 1 Ta 2.54
Se4 0.3333 0.6667 0.7713  3 Al 2.50, 1 Ta 2.54
Se5 0.6667 0.3333 0.2287  3 Al 2.50, 1 Ta 2.54
Se6 0.6667 0.3333 0.4379  3 Al 2.50, 1 Ta 2.54

Values from the calculation:
**Space-group type**: No. 166
**Formation energy (no corrections)**: -0.12 eV per formula unit
**N(E_F)**: 3.15 states/eV/f.u.

=====

Record 14
DFT (PBE-GGA) results for a relaxed structure of Ta2AlSe.

Lattice parameters (Å, degrees): 3.0639 3.0639 25.9062 90.00 90.00 120.00
With the nearest neighbours (Å) after each atom.
Fractional coordinates of all 12 atoms:
Ta1 0.0000 0.0000 0.2447  3 Se 2.69, 3 Al 2.90
Ta2 0.0000 0.0000 0.7553  3 Se 2.69, 3 Al 2.90
Ta3 0.3333 0.6667 0.4220  3 Se 2.69, 3 Al 2.90
Ta4 0.3333 0.6667 0.9113  3 Se 2.69, 3 Al 2.90
Ta5 0.6667 0.3333 0.0887  3 Se 2.69, 3 Al 2.90
Ta6 0.6667 0.3333 0.5780  3 Se 2.69, 3 Al 2.90
Al1 0.0000 0.0000 0.0000  6 Ta 2.90, 6 Al 3.06
Al2 0.3333 0.6667 0.6667  6 Ta 2.90, 6 Al 3.06
Al3 0.6667 0.3333 0.3333  6 Ta 2.90, 6 Al 3.06
Se1 0.0000 0.0000 0.5000  6 Ta 2.69
Se2 0.3333 0.6667 0.1667  6 Ta 2.69
Se3 0.6667 0.3333 0.8333  6 Ta 2.69

Values from the calculation:
**E above lowest polymorph**: 113 meV/atom
**Space-group type**: No. 166
**Formation energy (no corrections)**: -0.25 eV per formula unit
**N(E_F)**: 1.48 states/eV/f.u.

=====

Record 15
DFT (PBE-GGA) results for a relaxed structure of TaAlSe2.

Lattice parameters (Å, degrees): 3.2148 3.2148 7.4278 90.00 90.00 90.00
With the nearest neighbours (Å) after each atom.
Fractional coordinates of all 4 atoms:
Ta1 0.0000 0.0000 0.0000  8 Se 2.75
Al1 0.0000 0.0000 0.5000  8 Se 3.14, 4 Al 3.21
Se1 0.5000 0.5000 0.2081  4 Ta 2.75
Se2 0.5000 0.5000 0.7919  4 Ta 2.75

Values from the calculation:
**Space-group type**: No. 123
**Formation energy (no corrections)**: -1.07 eV per formula unit
**N(E_F)**: 1.45 states/eV/f.u.

=====

| no. | calculated volume (Å³ per cell) | DFT total energy (eV/atom) |
| --- | --- | --- |
| 1 | 153 | -7.74 |
| 2 | 390 | -5.52 |
| 3 | 231 | -5.95 |
| 4 | 151 | -5.63 |
| 5 | 146 | -5.40 |
| 6 | 55 | -6.69 |
| 7 | 55 | -6.37 |
| 8 | 76 | -5.49 |
| 9 | 141 | -7.70 |
| 10 | 118 | -8.61 |
| 11 | 264 | -6.03 |
| 12 | 70 | -7.68 |
| 13 | 252 | -5.67 |
| 14 | 211 | -7.79 |
| 15 | 77 | -5.91 |